! Ac8CuPt6, optimized geometry, DFT GGA-PBE; values from VASP
&SYSTEM
  ibrav = 0, nat = 15, ntyp = 3
/
ATOMIC_SPECIES
Ac 227.00 Ac.upf
Cu 63.55 Cu.upf
Pt 195.08 Pt.upf
ATOMIC_POSITIONS crystal
Ac 0.030 0.684 0.258
Ac 0.316 0.345 0.258
Ac 0.333 0.667 0.746
Ac 0.345 0.030 0.742
Ac 0.655 0.970 0.258
Ac 0.667 0.333 0.254
Ac 0.684 0.655 0.742
Ac 0.970 0.316 0.742
Cu 0.000 0.000 0.500
Pt 0.147 0.485 0.245
Pt 0.338 0.853 0.245
Pt 0.485 0.338 0.755
Pt 0.515 0.662 0.245
Pt 0.662 0.147 0.755
Pt 0.853 0.515 0.755
CELL_PARAMETERS angstrom
11.425 0.000 0.000
-5.712 9.894 0.000
0.000 0.000 4.590
! Formation energy in eV/atom: -0.82
! DOS at the Fermi energy in states/eV/cell: 9.14

! Ac2CuPt, optimized geometry, DFT GGA-PBE; values from VASP
&SYSTEM
  ibrav = 0, nat = 4, ntyp = 3
/
ATOMIC_SPECIES
Ac 227.00 Ac.upf
Cu 63.55 Cu.upf
Pt 195.08 Pt.upf
ATOMIC_POSITIONS crystal
Ac 0.000 0.000 0.000
Ac 0.500 0.272 0.272
Cu 0.000 0.710 0.710
Pt 0.500 0.559 0.559
CELL_PARAMETERS angstrom
4.689 0.000 0.000
0.000 2.094 5.739
0.000 -2.094 5.739
! Formation energy in eV/atom: -0.65
! DOS at the Fermi energy in states/eV/cell: 3.49

! Ac2Cu3Pt, optimized geometry, DFT GGA-PBE; values from VASP
&SYSTEM
  ibrav = 0, nat = 12, ntyp = 3
/
ATOMIC_SPECIES
Ac 227.00 Ac.upf
Cu 63.55 Cu.upf
Pt 195.08 Pt.upf
ATOMIC_POSITIONS crystal
Ac 0.246 0.754 0.754
Ac 0.250 0.250 0.250
Ac 0.750 0.750 0.750
Ac 0.754 0.246 0.246
Cu 0.175 0.662 0.338
Cu 0.338 0.338 0.662
Cu 0.338 0.825 0.175
Cu 0.662 0.175 0.825
Cu 0.662 0.662 0.338
Cu 0.825 0.338 0.662
Pt 0.167 0.167 0.833
Pt 0.833 0.833 0.167
CELL_PARAMETERS angstrom
0.000 4.442 7.641
4.090 0.000 7.641
4.090 4.442 0.000
! Formation energy in eV/atom: -0.49
! DOS at the Fermi energy in states/eV/cell: 7.63

! Ac2Cu3Pt4, optimized geometry, DFT GGA-PBE; values from VASP
&SYSTEM
  ibrav = 0, nat = 18, ntyp = 3
/
ATOMIC_SPECIES
Ac 227.00 Ac.upf
Cu 63.55 Cu.upf
Pt 195.08 Pt.upf
ATOMIC_POSITIONS crystal
Ac 0.113 0.887 0.914
Ac 0.387 0.613 0.414
Ac 0.613 0.387 0.586
Ac 0.887 0.113 0.086
Cu 0.000 0.000 0.500
Cu 0.018 0.482 0.750
Cu 0.482 0.018 0.250
Cu 0.500 0.500 0.000
Cu 0.518 0.982 0.750
Cu 0.982 0.518 0.250
Pt 0.175 0.825 0.516
Pt 0.187 0.313 0.750
Pt 0.313 0.187 0.250
Pt 0.325 0.675 0.016
Pt 0.675 0.325 0.984
Pt 0.687 0.813 0.750
Pt 0.813 0.687 0.250
Pt 0.825 0.175 0.484
CELL_PARAMETERS angstrom
2.846 -7.812 0.000
2.846 7.812 0.000
0.000 0.000 7.797
! Formation energy in eV/atom: -0.65
! DOS at the Fermi energy in states/eV/cell: 5.97

! Ac6CuPt3, optimized geometry, DFT GGA-PBE; values from VASP
&SYSTEM
  ibrav = 0, nat = 20, ntyp = 3
/
ATOMIC_SPECIES
Ac 227.00 Ac.upf
Cu 63.55 Cu.upf
Pt 195.08 Pt.upf
ATOMIC_POSITIONS crystal
Ac 0.060 0.250 0.407
Ac 0.092 0.750 0.925
Ac 0.243 0.250 0.765
Ac 0.245 0.750 0.260
Ac 0.408 0.250 0.564
Ac 0.437 0.250 0.103
Ac 0.563 0.750 0.897
Ac 0.592 0.750 0.436
Ac 0.755 0.250 0.740
Ac 0.757 0.750 0.235
Ac 0.908 0.250 0.075
Ac 0.940 0.750 0.593
Cu 0.206 0.750 0.573
Cu 0.794 0.250 0.427
Pt 0.005 0.250 0.763
Pt 0.335 0.750 0.936
Pt 0.418 0.250 0.337
Pt 0.582 0.750 0.663
Pt 0.665 0.250 0.064
Pt 0.995 0.750 0.237
CELL_PARAMETERS angstrom
12.845 0.000 0.000
0.000 4.418 0.000
-5.327 0.000 12.378
! Formation energy in eV/atom: -0.73
! DOS at the Fermi energy in states/eV/cell: 15.96

! Ac3Cu4Pt4, optimized geometry, DFT GGA-PBE; values from VASP
&SYSTEM
  ibrav = 0, nat = 11, ntyp = 3
/
ATOMIC_SPECIES
Ac 227.00 Ac.upf
Cu 63.55 Cu.upf
Pt 195.08 Pt.upf
ATOMIC_POSITIONS crystal
Ac 0.000 0.500 0.500
Ac 0.500 0.000 0.500
Ac 0.500 0.500 0.000
Cu 0.000 0.000 0.773
Cu 0.000 0.773 0.000
Cu 0.227 0.227 0.227
Cu 0.773 0.000 0.000
Pt 0.000 0.000 0.409
Pt 0.000 0.409 0.000
Pt 0.409 0.000 0.000
Pt 0.591 0.591 0.591
CELL_PARAMETERS angstrom
-3.891 3.891 3.891
3.891 -3.891 3.891
3.891 3.891 -3.891
! Formation energy in eV/atom: -0.59
! DOS at the Fermi energy in states/eV/cell: 8.21

! AcCu3Pt2, optimized geometry, DFT GGA-PBE; values from VASP
&SYSTEM
  ibrav = 0, nat = 12, ntyp = 3
/
ATOMIC_SPECIES
Ac 227.00 Ac.upf
Cu 63.55 Cu.upf
Pt 195.08 Pt.upf
ATOMIC_POSITIONS crystal
Ac 0.213 0.213 0.213
Ac 0.787 0.787 0.787
Cu 0.297 0.692 0.692
Cu 0.308 0.308 0.703
Cu 0.308 0.703 0.308
Cu 0.692 0.297 0.692
Cu 0.692 0.692 0.297
Cu 0.703 0.308 0.308
Pt 0.000 0.000 0.000
Pt 0.000 0.500 0.500
Pt 0.500 0.000 0.500
Pt 0.500 0.500 0.000
CELL_PARAMETERS angstrom
3.141 1.814 6.353
-3.141 1.814 6.353
0.000 -3.627 6.353
! Formation energy in eV/atom: -0.10
! DOS at the Fermi energy in states/eV/cell: 5.63

! AcCu2Pt3, optimized geometry, DFT GGA-PBE; values from VASP
&SYSTEM
  ibrav = 0, nat = 6, ntyp = 3
/
ATOMIC_SPECIES
Ac 227.00 Ac.upf
Cu 63.55 Cu.upf
Pt 195.08 Pt.upf
ATOMIC_POSITIONS crystal
Ac 0.000 0.000 0.000
Cu 0.333 0.667 0.000
Cu 0.667 0.333 0.000
Pt 0.000 0.500 0.500
Pt 0.500 0.000 0.500
Pt 0.500 0.500 0.500
CELL_PARAMETERS angstrom
5.541 0.000 0.000
-2.770 4.798 0.000
0.000 0.000 4.122
! Formation energy in eV/atom: -0.71
! DOS at the Fermi energy in states/eV/cell: 3.28

! Ac3Cu2Pt7, optimized geometry, DFT GGA-PBE; values from VASP
&SYSTEM
  ibrav = 0, nat = 12, ntyp = 3
/
ATOMIC_SPECIES
Ac 227.00 Ac.upf
Cu 63.55 Cu.upf
Pt 195.08 Pt.upf
ATOMIC_POSITIONS crystal
Ac 0.000 0.000 0.000
Ac 0.139 0.139 0.139
Ac 0.861 0.861 0.861
Cu 0.333 0.333 0.333
Cu 0.667 0.667 0.667
Pt 0.077 0.580 0.580
Pt 0.420 0.420 0.923
Pt 0.420 0.923 0.420
Pt 0.500 0.500 0.500
Pt 0.580 0.077 0.580
Pt 0.580 0.580 0.077
Pt 0.923 0.420 0.420
CELL_PARAMETERS angstrom
2.796 1.614 8.809
-2.796 1.614 8.809
0.000 -3.228 8.809
! Formation energy in eV/atom: -0.87
! DOS at the Fermi energy in states/eV/cell: 4.55

! Ac4CuPt2, optimized geometry, DFT GGA-PBE; values from VASP
&SYSTEM
  ibrav = 0, nat = 7, ntyp = 3
/
ATOMIC_SPECIES
Ac 227.00 Ac.upf
Cu 63.55 Cu.upf
Pt 195.08 Pt.upf
ATOMIC_POSITIONS crystal
Ac 0.130 0.130 0.297
Ac 0.365 0.365 0.198
Ac 0.635 0.635 0.802
Ac 0.870 0.870 0.703
Cu 0.500 0.500 0.000
Pt 0.250 0.250 0.751
Pt 0.750 0.750 0.249
CELL_PARAMETERS angstrom
7.962 -2.263 0.000
7.962 2.263 0.000
-3.702 0.000 6.781
! Formation energy in eV/atom: -0.69
! DOS at the Fermi energy in states/eV/cell: 4.61

! Ac3Cu3Pt2, optimized geometry, DFT GGA-PBE; values from VASP
&SYSTEM
  ibrav = 0, nat = 16, ntyp = 3
/
ATOMIC_SPECIES
Ac 227.00 Ac.upf
Cu 63.55 Cu.upf
Pt 195.08 Pt.upf
ATOMIC_POSITIONS crystal
Ac 0.091 0.909 0.750
Ac 0.365 0.635 0.587
Ac 0.365 0.635 0.913
Ac 0.635 0.365 0.087
Ac 0.635 0.365 0.413
Ac 0.909 0.091 0.250
Cu 0.077 0.923 0.553
Cu 0.077 0.923 0.947
Cu 0.197 0.803 0.250
Cu 0.803 0.197 0.750
Cu 0.923 0.077 0.053
Cu 0.923 0.077 0.447
Pt 0.335 0.665 0.118
Pt 0.335 0.665 0.382
Pt 0.665 0.335 0.618
Pt 0.665 0.335 0.882
CELL_PARAMETERS angstrom
2.180 -5.610 0.000
2.180 5.610 0.000
0.000 0.000 16.350
! Formation energy in eV/atom: -0.63
! DOS at the Fermi energy in states/eV/cell: 9.43

! Ac3Cu2Pt4, optimized geometry, DFT GGA-PBE; values from VASP
&SYSTEM
  ibrav = 0, nat = 9, ntyp = 3
/
ATOMIC_SPECIES
Ac 227.00 Ac.upf
Cu 63.55 Cu.upf
Pt 195.08 Pt.upf
ATOMIC_POSITIONS crystal
Ac 0.000 0.000 0.000
Ac 0.335 0.335 0.329
Ac 0.665 0.665 0.671
Cu 0.388 0.388 0.716
Cu 0.612 0.612 0.284
Pt 0.064 0.064 0.387
Pt 0.287 0.287 0.935
Pt 0.713 0.713 0.065
Pt 0.936 0.936 0.613
CELL_PARAMETERS angstrom
5.687 -2.237 0.000
5.687 2.237 0.000
-2.598 0.000 8.448
! Formation energy in eV/atom: -0.87
! DOS at the Fermi energy in states/eV/cell: 3.08

Repeat the seventh record exactly.
! AcCu3Pt2, optimized geometry, DFT GGA-PBE; values from VASP
&SYSTEM
  ibrav = 0, nat = 12, ntyp = 3
/
ATOMIC_SPECIES
Ac 227.00 Ac.upf
Cu 63.55 Cu.upf
Pt 195.08 Pt.upf
ATOMIC_POSITIONS crystal
Ac 0.213 0.213 0.213
Ac 0.787 0.787 0.787
Cu 0.297 0.692 0.692
Cu 0.308 0.308 0.703
Cu 0.308 0.703 0.308
Cu 0.692 0.297 0.692
Cu 0.692 0.692 0.297
Cu 0.703 0.308 0.308
Pt 0.000 0.000 0.000
Pt 0.000 0.500 0.500
Pt 0.500 0.000 0.500
Pt 0.500 0.500 0.000
CELL_PARAMETERS angstrom
3.141 1.814 6.353
-3.141 1.814 6.353
0.000 -3.627 6.353
! Formation energy in eV/atom: -0.10
! DOS at the Fermi energy in states/eV/cell: 5.63

Repeat the eleventh record exactly.
! Ac3Cu3Pt2, optimized geometry, DFT GGA-PBE; values from VASP
&SYSTEM
  ibrav = 0, nat = 16, ntyp = 3
/
ATOMIC_SPECIES
Ac 227.00 Ac.upf
Cu 63.55 Cu.upf
Pt 195.08 Pt.upf
ATOMIC_POSITIONS crystal
Ac 0.091 0.909 0.750
Ac 0.365 0.635 0.587
Ac 0.365 0.635 0.913
Ac 0.635 0.365 0.087
Ac 0.635 0.365 0.413
Ac 0.909 0.091 0.250
Cu 0.077 0.923 0.553
Cu 0.077 0.923 0.947
Cu 0.197 0.803 0.250
Cu 0.803 0.197 0.750
Cu 0.923 0.077 0.053
Cu 0.923 0.077 0.447
Pt 0.335 0.665 0.118
Pt 0.335 0.665 0.382
Pt 0.665 0.335 0.618
Pt 0.665 0.335 0.882
CELL_PARAMETERS angstrom
2.180 -5.610 0.000
2.180 5.610 0.000
0.000 0.000 16.350
! Formation energy in eV/atom: -0.63
! DOS at the Fermi energy in states/eV/cell: 9.43

Question: formation energy of number 8 (AcCu2Pt3)?
Answer: -0.71 eV/atom